# SrBeTe2 (GGA-PBE, optimized geometry)
# Calculated volume, A^3/atom: 43.79
# Total magnetic moment, μB/atom: 0.00
# E_form (uncorrected), eV/f.u.: -3.0
data_SrBeTe2
_chemical_formula_sum 'Sr3 Be3 Te6'
_cell_length_a 5.1431
_cell_length_b 5.1431
_cell_length_c 22.9394
_cell_angle_alpha 90.00
_cell_angle_beta 90.00
_cell_angle_gamma 120.00
_symmetry_space_group_name_H-M 'R -3 m'
_symmetry_Int_Tables_number 166
_symmetry_space_group_name_Hall '-R 3 2"'
loop_
_atom_site_label
_atom_site_type_symbol
_atom_site_fract_x
_atom_site_fract_y
_atom_site_fract_z
Sr1 Sr 0.0000 0.0000 0.0000
Be1 Be 0.0000 0.0000 0.5000
Te1 Te 0.0000 0.0000 0.4031

---

# SrBeTe3 (GGA-PBE, optimized geometry)
# Calculated volume, A^3/atom: 28.26
# Excess energy over the best structure of this formula in the dataset, eV/atom: 0.000
# Total magnetic moment, μB/atom: 0.00
# E_form (uncorrected), eV/f.u.: -2.0
data_SrBeTe3
_chemical_formula_sum 'Sr1 Be1 Te3'
_cell_length_a 5.208
_cell_length_b 5.208
_cell_length_c 5.208
_cell_angle_alpha 90.00
_cell_angle_beta 90.00
_cell_angle_gamma 90.00
_symmetry_space_group_name_H-M 'P m -3 m'
_symmetry_Int_Tables_number 221
_symmetry_space_group_name_Hall '-P 4 2 3'
loop_
_atom_site_label
_atom_site_type_symbol
_atom_site_fract_x
_atom_site_fract_y
_atom_site_fract_z
Sr1 Sr 0.000 0.000 0.000
Be1 Be 0.500 0.500 0.500
Te1 Te 0.000 0.500 0.500